Crystalline CaH at its relaxed geometry, computed with GGA-PBE.

Properties
Raw total energy = -2.93 eV/atom

a b c (Å): 3.693 6.415 5.737
angles (deg): 90.00 90.00 90.00
Site moments in Bohr magnetons follow the coordinates.
Positions (direct):
Ca  0.500  0.334  0.250  0.15
Ca  0.000  0.166  0.750  0.15
Ca  0.500  0.666  0.750  0.15
Ca  0.000  0.834  0.250  0.15
H  0.000  0.500  0.000  0.00
H  0.500  0.000  0.500  0.00
H  0.000  0.500  0.500  0.00
H  0.500  0.000  0.000  0.00

Crystalline Ca2H3 at its relaxed geometry, computed with GGA-PBE.

Properties
Energy relative to the lowest polymorph listed for this composition = 0 meV per atom

a b c (Å): 3.774 6.904 8.714
angles (deg): 101.72 90.00 105.86
Positions (direct):
Ca  0.363  0.727  0.470
Ca  0.303  0.606  0.864
Ca  0.637  0.273  0.530
Ca  0.030  0.060  0.803
Ca  0.970  0.940  0.197
Ca  0.697  0.394  0.136
H  0.503  0.006  0.664
H  0.500  0.000  0.000
H  0.164  0.327  0.670
H  0.833  0.667  0.667
H  0.836  0.673  0.330
H  0.170  0.340  0.997
H  0.167  0.333  0.333
H  0.830  0.660  0.003
H  0.497  0.994  0.336

Crystalline CaH at its relaxed geometry, computed with GGA-PBE.

Properties
Raw total energy = -3.00 eV/atom

a b c (Å): 3.356 3.381 7.098
angles (deg): 90.00 118.21 90.00
Positions (direct):
Ca  0.006  0.750  0.256
Ca  0.994  0.250  0.744
H  0.383  0.750  0.632
H  0.617  0.250  0.368

Crystalline CaH2 at its relaxed geometry, computed with GGA-PBE.

Properties
Raw total energy = -3.43 eV/atom

a b c (Å): 3.799 3.799 5.281
angles (deg): 90.00 90.00 120.00
Positions (direct):
H  0.333  0.667  0.750
H  0.000  0.000  0.000
H  0.667  0.333  0.250
H  0.000  0.000  0.500
Ca  0.333  0.667  0.250
Ca  0.667  0.333  0.750

Crystalline CaH at its relaxed geometry, computed with GGA-PBE.

Properties
Raw total energy = -3.01 eV/atom

a b c (Å): 9.402 9.402 3.749
angles (deg): 90.00 90.00 90.00
Positions (direct):
Ca  0.417  0.226  0.000
Ca  0.917  0.726  0.500
Ca  0.226  0.583  0.000
Ca  0.083  0.274  0.500
Ca  0.274  0.917  0.500
Ca  0.726  0.083  0.500
Ca  0.583  0.774  0.000
Ca  0.774  0.417  0.000
H  0.210  0.343  0.000
H  0.290  0.157  0.500
H  0.843  0.290  0.500
H  0.657  0.210  0.000
H  0.710  0.843  0.500
H  0.157  0.710  0.500
H  0.790  0.657  0.000
H  0.343  0.790  0.000

Crystalline CaH at its relaxed geometry, computed with GGA-PBE.

Properties
Raw total energy = -3.00 eV/atom

a b c (Å): 3.797 5.611 11.186
angles (deg): 90.00 90.00 90.00
Site moments in Bohr magnetons follow the coordinates.
Positions (direct):
H  0.500  0.008  0.146  0.00
H  0.000  0.992  0.354  0.00
H  0.500  0.008  0.854  0.00
H  0.500  0.440  0.500  0.00
H  0.000  0.992  0.646  0.00
H  0.000  0.560  0.000  0.00
Ca  0.500  0.302  0.000  0.09
Ca  0.000  0.781  0.173  0.06
Ca  0.000  0.781  0.827  0.06
Ca  0.500  0.219  0.327  0.06
Ca  0.000  0.698  0.500  0.09
Ca  0.500  0.219  0.673  0.06

Crystalline CaH at its relaxed geometry, computed with GGA-PBE.

Properties
Raw total energy = -3.10 eV/atom

a b c (Å): 3.805 3.805 5.699
angles (deg): 90.00 90.00 90.00
Positions (direct):
Ca  0.000  0.500  0.777
Ca  0.500  0.000  0.223
H  0.500  0.500  0.000
H  0.000  0.000  0.000

Crystalline CaH at its relaxed geometry, computed with GGA-PBE.

Properties
Raw total energy = -2.89 eV/atom

a b c (Å): 6.414 6.414 6.414
angles (deg): 90.00 90.00 90.00
Site moments in Bohr magnetons follow the coordinates.
Positions (direct):
H  0.250  0.000  0.500  0.00
H  0.750  0.000  0.500  0.00
H  0.500  0.750  0.000  0.00
H  0.000  0.500  0.250  0.00
H  0.000  0.500  0.750  0.00
H  0.500  0.250  0.000  0.00
Ca  0.000  0.750  0.500  0.08
Ca  0.500  0.000  0.750  0.08
Ca  0.750  0.500  0.000  0.08
Ca  0.250  0.500  0.000  0.08
Ca  0.500  0.000  0.250  0.08
Ca  0.000  0.250  0.500  0.08